## NdPuGe4 (GGA-PBE)

Data for NdPuGe4 after structural relaxation.

```
NdPuGe4
1.0
0.000 3.991 3.991
3.991 0.000 3.991
3.991 3.991 0.000
Nd Pu Ge
1 1 4
direct
0.000 0.000 0.000
0.250 0.250 0.250
0.128 0.624 0.624
0.624 0.128 0.624
0.624 0.624 0.128
0.624 0.624 0.624
```

Properties
magnetization	6.74	μB/cell
energy of formation from the pure elements	-340	meV/atom
space group	F-43m, No. 216

## Nd2Pu2Ge3 (GGA-PBE)

Data for Nd2Pu2Ge3 after structural relaxation.

```
Nd2Pu2Ge3
1.0
7.971 -2.412 0.000
7.971 2.412 0.000
-1.595 0.000 4.790
Nd Pu Ge
2 2 3
direct
0.120 0.120 0.120
0.880 0.880 0.880
0.370 0.370 0.369
0.630 0.630 0.631
0.000 0.000 0.500
0.254 0.254 0.754
0.746 0.746 0.246
```

Properties
magnetization	11.51	μB/cell
energy of formation from the pure elements	-408	meV/atom
space group	C2/m, No. 12

## NdPu2Ge2 (GGA-PBE)

Data for NdPu2Ge2 after structural relaxation.

```
NdPu2Ge2
1.0
2.285 -6.732 0.000
2.285 6.732 0.000
0.000 0.000 8.278
Nd Pu Ge
2 4 4
direct
0.085 0.915 0.500
0.915 0.085 0.000
0.176 0.824 0.102
0.352 0.648 0.389
0.648 0.352 0.889
0.824 0.176 0.602
0.277 0.723 0.795
0.471 0.529 0.695
0.529 0.471 0.195
0.723 0.277 0.295
```

Properties
magnetization	22.13	μB/cell
E above lowest polymorph	0	meV/atom
energy of formation from the pure elements	-368	meV/atom
space group	Cmc2_1, No. 36